Density functional theory data (PBE with a Hubbard U) for crystalline LaMn4Bi3O12 at its relaxed geometry.

Cell: 5.5008 7.7059 5.9691 Å, 90.00 90.27 90.00°
Last column: nearest neighbours and their distance in Å.
Atoms (fractional coordinates):
La 0.0000 0.0000 0.0000  8 O 2.42-2.67
Mn 0.0131 0.2505 0.5644  4 O 1.96-2.02
Mn 0.0131 0.7495 0.5644  4 O 1.96-2.02
Mn 0.5142 0.2517 0.0676  4 O 1.95-2.00
Mn 0.5142 0.7483 0.0676  4 O 1.95-2.00
Bi 0.0255 0.5000 0.1363  4 O 2.34-2.47
Bi 0.5024 0.5000 0.6362  4 O 2.34-2.44
Bi 0.5247 0.0000 0.4965  4 O 2.33-2.46
O 0.1148 0.0000 0.5927  2 Mn 2.02
O 0.2219 0.2958 0.8876  1 Mn 1.96
O 0.2219 0.7042 0.8876  1 Mn 1.96
O 0.3050 0.2957 0.3856  1 Mn 1.96
O 0.3050 0.7043 0.3856  1 Mn 1.96
O 0.4281 0.0000 0.0934  2 Mn 2.00
O 0.6148 0.5000 0.0320  2 Mn 2.00
O 0.7243 0.2022 0.7456  1 Mn 1.96
O 0.7243 0.7978 0.7456  1 Mn 1.96
O 0.8054 0.2086 0.2472  1 Mn 1.95
O 0.8054 0.7914 0.2472  1 Mn 1.95
O 0.9142 0.5000 0.5367  2 Mn 2.00

Properties
SG	Pm, No. 6
ρ	7.7	g cm⁻³
energy	-0.5138	Ry/atom
volume	253	Å³/f.u.